# NiHSe2 (GGA-PBE, relaxed)
# - Relative energy among the computed polymorphs: 663 meV/atom
# - V: 54 Å³/cell
# - Crystal system: cubic
data_NiHSe2
_chemical_formula_sum 'Ni1 H1 Se2'
_space_group_name_H-M_alt 'P 1'
_space_group_IT_number 1
_cell_length_a 4.230
_cell_length_b 4.230
_cell_length_c 4.230
_cell_angle_alpha 60.00
_cell_angle_beta 60.00
_cell_angle_gamma 60.00
loop_
_space_group_symop_operation_xyz
'x,y,z'
loop_
_atom_site_label
_atom_site_fract_x
_atom_site_fract_y
_atom_site_fract_z
Ni1 0.000 0.000 0.000
H1 0.500 0.500 0.500
Se1 0.250 0.250 0.250
Se2 0.750 0.750 0.750